(1)
# CsKH2 | Alexandria via LeMat-Bulk | GGA-PBE | relaxed
data_CsKH2
_chemical_formula_sum 'Cs3 K3 H6'
_space_group_name_H-M_alt 'R -3 m'
_space_group_IT_number 166
_space_group_name_Hall '-R 3 2"'
_cell_length_a 4.2256
_cell_length_b 4.2256
_cell_length_c 20.9884
_cell_angle_alpha 90.00
_cell_angle_beta 90.00
_cell_angle_gamma 120.00
loop_
_atom_site_label
_atom_site_fract_x
_atom_site_fract_y
_atom_site_fract_z
Cs1 0.0000 0.0000 0.0000
K1 0.0000 0.0000 0.5000
H1 0.0000 0.0000 0.2412
# N(E_F): 0.0000 states/eV per atom
# E_tot: -28.065 eV/cell

***

(2)
# PuReF | Alexandria via LeMat-Bulk | GGA-PBE | relaxed
data_PuReF
_chemical_formula_sum 'Pu2 Re2 F2'
_space_group_name_H-M_alt 'P 4/n m m'
_space_group_IT_number 129
_cell_length_a 3.147
_cell_length_b 3.147
_cell_length_c 9.891
_cell_angle_alpha 90.00
_cell_angle_beta 90.00
_cell_angle_gamma 90.00
loop_
_space_group_symop_operation_xyz
'x,y,z'
'-x,-y,-z'
'-y+1/2,x,z'
'y+1/2,-x,-z'
'-x+1/2,-y+1/2,z'
'x+1/2,y+1/2,-z'
'y,-x+1/2,z'
'-y,x+1/2,-z'
'x+1/2,-y,-z'
'-x+1/2,y,z'
'-y,-x,-z'
'y,x,z'
'-x,y+1/2,-z'
'x,-y+1/2,z'
'y+1/2,x+1/2,-z'
'-y+1/2,-x+1/2,z'
loop_
_atom_site_label
_atom_site_fract_x
_atom_site_fract_y
_atom_site_fract_z
Pu1 0.250 0.250 0.208
Re1 0.250 0.250 0.569
F1 0.250 0.250 0.924
# formation energy from raw total energies: -3.87 eV/f.u.
# N(E_F): 2.3220 states/eV per atom
# E_tot: -65.043 eV/cell

***

(3)
# Cd3Cu2Pd4 | Alexandria via LeMat-Bulk | GGA-PBE | relaxed
data_Cd3Cu2Pd4
_chemical_formula_sum 'Cd3 Cu2 Pd4'
_space_group_name_H-M_alt 'P -1'
_space_group_IT_number 2
_cell_length_a 4.044
_cell_length_b 4.823
_cell_length_c 8.555
_cell_angle_alpha 103.63
_cell_angle_beta 90.14
_cell_angle_gamma 114.65
loop_
_space_group_symop_operation_xyz
'x,y,z'
'-x,-y,-z'
loop_
_atom_site_label
_atom_site_fract_x
_atom_site_fract_y
_atom_site_fract_z
Cd1 0.000 0.000 0.000
Cd2 0.334 0.668 0.435
Cu1 0.328 0.658 0.785
Pd1 0.006 0.012 0.327
Pd2 0.333 0.665 0.109
# ΔE_f: -2.0 eV/f.u.
# N(E_F): 0.4397 states/eV per atom
# E_tot: -33.704 eV/cell

***

(4)
# Ba3ZnTc2O9 | Alexandria via LeMat-Bulk | GGA-PBE | relaxed
data_Ba3ZnTc2O9
_chemical_formula_sum 'Ba3 Zn1 Tc2 O9'
_space_group_name_H-M_alt 'P -3 m 1'
_space_group_IT_number 164
_space_group_name_Hall '-P 3 2"'
_cell_length_a 5.7599
_cell_length_b 5.7599
_cell_length_c 7.0824
_cell_angle_alpha 90.00
_cell_angle_beta 90.00
_cell_angle_gamma 120.00
loop_
_atom_site_label
_atom_site_fract_x
_atom_site_fract_y
_atom_site_fract_z
Ba1 0.0000 0.0000 0.0000
Ba2 0.3333 0.6667 0.6549
Zn1 0.0000 0.0000 0.5000
Tc1 0.3333 0.6667 0.1610
O1 0.0000 0.5000 0.0000
O2 0.1735 0.3470 0.3211
# formation energy from raw total energies: -30.56 eV/f.u.
# N(E_F): 0.2831 states/eV per atom
# E_tot: -102.963 eV/cell